Record 1
Material: TmGa6Pd
Method: DFT, PBE
State: optimized geometry

ΔE_f: -327 meV per atom

a = 4.436 Å, b = 6.020 Å, c = 6.020 Å
α = 66.96°, β = 90.00°, γ = 90.00°
Fractional coordinates of all 8 atoms:
Ga: 0.500 0.500 0.000
Ga: 0.000 0.793 0.793
Ga: 0.000 0.301 0.699
Ga: 0.500 0.000 0.500
Ga: 0.000 0.699 0.301
Ga: 0.000 0.207 0.207
Pd: 0.500 0.500 0.500
Tm: 0.500 0.000 0.000

Record 2
Material: BaTb2IrO8
Method: DFT, PBE
State: optimized geometry

Energy relative to the elements, uncorrected: -24.895 eV/f.u.

a = 5.219 Å, b = 4.362 Å, c = 7.211 Å
α = 73.35°, β = 90.79°, γ = 92.03°
Site moments in Bohr magnetons follow the coordinates.
Fractional coordinates of all 12 atoms:
O: 0.767 0.786 0.873  0.09
O: 0.024 0.355 0.761  0.12
O: 0.496 0.743 0.493  0.15
O: 0.698 0.168 0.097  0.05
O: 0.233 0.214 0.127  0.09
O: 0.504 0.257 0.507  0.15
O: 0.302 0.832 0.903  0.05
O: 0.976 0.645 0.239  0.12
Ba: 0.000 0.000 0.500  0.01
Ir: 0.000 0.000 0.000  0.61
Tb: 0.517 0.613 0.208  0.01
Tb: 0.483 0.387 0.792  0.01

no.,E (eV/atom)
1,-3.8055
2,-7.0504